Here is crystalline Al2NiO4 at its relaxed geometry from Alexandria. Energies are from PBE+U.

Calculated values
- E above lowest polymorph: 5.3 meV per atom
- Density of states at the Fermi level: 0.00 states/eV per cell
- Crystal system: monoclinic
- Raw total energy: -47.13 eV per formula unit
- Calculated volume: 402.0 Å³ per cell

Unit cell a=5.755 b=5.755 c=13.990 alpha=90.08 beta=90.08 gamma=60.17
Fractional positions:
Al: 0.000 0.000 0.000
Al: 0.002 0.002 0.618
Al: 0.004 0.504 0.123
Al: 0.007 0.007 0.243
Al: 0.176 0.671 0.790
Al: 0.328 0.328 0.334
Al: 0.330 0.834 0.454
Al: 0.504 0.004 0.123
Al: 0.665 0.665 0.662
Al: 0.671 0.176 0.790
Al: 0.679 0.679 0.914
Al: 0.834 0.330 0.454
Ni: 0.174 0.174 0.790
Ni: 0.335 0.335 0.581
Ni: 0.339 0.339 0.956
Ni: 0.504 0.504 0.122
Ni: 0.668 0.668 0.289
Ni: 0.834 0.834 0.455
O: 0.007 0.007 0.372
O: 0.012 0.521 0.868
O: 0.148 0.148 0.532
O: 0.158 0.663 0.044
O: 0.164 0.705 0.537
O: 0.174 0.174 0.045
O: 0.316 0.838 0.704
O: 0.328 0.328 0.202
O: 0.345 0.849 0.200
O: 0.353 0.353 0.722
O: 0.487 0.992 0.378
O: 0.501 0.501 0.380
O: 0.509 0.509 0.867
O: 0.521 0.012 0.868
O: 0.659 0.659 0.533
O: 0.663 0.158 0.044
O: 0.679 0.679 0.044
O: 0.705 0.164 0.537
O: 0.833 0.833 0.199
O: 0.838 0.316 0.704
O: 0.846 0.846 0.706
O: 0.849 0.345 0.200
O: 0.992 0.487 0.378
O: 0.998 0.998 0.867